# AsPb2AuSe4 GGA-PBE optimized geometry
# - SG: P1 (1)
# - Final energy: -3.91 eV per atom
# - Theoretical density: 7.2 g/cm³
data_AsPb2AuSe4
_cell_length_a 8.318
_cell_length_b 8.517
_cell_length_c 8.823
_cell_angle_alpha 61.35
_cell_angle_beta 63.83
_cell_angle_gamma 61.31
_space_group_name_H-M_alt 'P 1'
_space_group_IT_number 1
loop_
_space_group_symop_operation_xyz
'x,y,z'
loop_
_atom_site_label
_atom_site_type_symbol
_atom_site_fract_x
_atom_site_fract_y
_atom_site_fract_z
_atom_site_occupancy
As1 As 0.000 0.000 0.000 1
As2 As 0.006 0.481 0.514 1
Pb1 Pb 0.038 0.996 0.447 1
Pb2 Pb 0.478 0.054 0.960 1
Pb3 Pb 0.525 0.517 0.443 1
Pb4 Pb 0.550 0.978 0.471 1
Au1 Au 0.512 0.326 0.122 1
Au2 Au 0.996 0.589 0.942 1
Se1 Se 0.212 0.316 0.149 1
Se2 Se 0.259 0.796 0.154 1
Se3 Se 0.279 0.272 0.650 1
Se4 Se 0.312 0.750 0.656 1
Se5 Se 0.787 0.801 0.155 1
Se6 Se 0.808 0.279 0.658 1
Se7 Se 0.833 0.262 0.121 1
Se8 Se 0.842 0.697 0.693 1

# SmZr2VN4 GGA-PBE optimized geometry
# - SG: Cmcm (63)
# - Final energy: -9.42 eV per atom
# - Theoretical density: 7.0 g/cm³
# - N(E_F): 3.74 states/eV/f.u.
data_SmZr2VN4
_cell_length_a 5.902
_cell_length_b 5.902
_cell_length_c 11.200
_cell_angle_alpha 90.00
_cell_angle_beta 90.00
_cell_angle_gamma 147.84
_space_group_name_H-M_alt 'P 1'
_space_group_IT_number 1
loop_
_space_group_symop_operation_xyz
'x,y,z'
loop_
_atom_site_label
_atom_site_type_symbol
_atom_site_fract_x
_atom_site_fract_y
_atom_site_fract_z
_atom_site_occupancy
Sm1 Sm 0.098 0.902 0.750 1
Sm2 Sm 0.902 0.098 0.250 1
Zr1 Zr 0.369 0.631 0.543 1
Zr2 Zr 0.369 0.631 0.957 1
Zr3 Zr 0.631 0.369 0.043 1
Zr4 Zr 0.631 0.369 0.457 1
V1 V 0.163 0.837 0.250 1
V2 V 0.837 0.163 0.750 1
N1 N 0.000 0.000 0.000 1
N2 N 0.000 0.000 0.500 1
N3 N 0.266 0.734 0.120 1
N4 N 0.266 0.734 0.380 1
N5 N 0.436 0.564 0.750 1
N6 N 0.564 0.436 0.250 1
N7 N 0.734 0.266 0.620 1
N8 N 0.734 0.266 0.880 1